A geometry-optimized La8Ru3Au2 structure, computed with PBE.

Results
Formation energy from the elements ... -0.353 eV per atom
Space-group type ... P2/m
Raw total energy ... -6.03 eV per atom

Unit cell a=8.9381 b=5.1254 c=8.9676 alpha=90.00 beta=111.53 gamma=90.00
Last column: nearest neighbours and their distance in Å.
Fractional coordinates of all 13 atoms:
La 0.1125 0.0000 0.3863  2 Ru 2.99-3.01, 2 Au 3.21
La 0.1414 0.5000 0.8691  3 Ru 2.98-3.07, 2 Au 3.21-3.25
La 0.3673 0.5000 0.6406  3 Ru 3.00-3.06, 2 Au 3.21-3.25
La 0.3838 0.0000 0.1168  4 Ru 3.07-3.09, 2 Au 3.29
La 0.6162 0.0000 0.8832  4 Ru 3.07-3.09, 2 Au 3.29
La 0.6327 0.5000 0.3594  3 Ru 3.00-3.06, 2 Au 3.21-3.25
La 0.8586 0.5000 0.1309  3 Ru 2.98-3.07, 2 Au 3.21-3.25
La 0.8875 0.0000 0.6137  2 Ru 2.99-3.01, 2 Au 3.21
Ru 0.2466 0.0000 0.7467  8 La 2.99-3.09
Ru 0.5000 0.5000 0.0000  8 La 2.98-3.09
Ru 0.7534 0.0000 0.2533  8 La 2.99-3.09
Au 0.2440 0.5000 0.2567  8 La 3.21-3.29
Au 0.7560 0.5000 0.7433  8 La 3.21-3.29


A geometry-optimized TbYTc structure, computed with PBE.

Results
Energy above the lowest structure with this stoichiometry ... 0.0 kJ per mole of atoms
Formation energy from the elements ... -0.018 eV per atom
Space-group type ... I4mm
Raw total energy ... -7.17 eV per atom

Unit cell a=3.4826 b=3.4826 c=12.5031 alpha=90.00 beta=90.00 gamma=90.00
Last column: nearest neighbours and their distance in Å.
Fractional coordinates of all 6 atoms:
Tb 0.0000 0.0000 0.0000  4 Tc 2.95, 1 Y 3.26
Tb 0.5000 0.5000 0.5000  4 Tc 2.95, 1 Y 3.26
Y 0.0000 0.0000 0.2605  4 Tc 2.96, 1 Tb 3.26
Y 0.5000 0.5000 0.7605  4 Tc 2.96, 1 Tb 3.26
Tc 0.0000 0.0000 0.6293  4 Tb 2.95, 4 Y 2.96
Tc 0.5000 0.5000 0.1293  4 Tb 2.95, 4 Y 2.96


A geometry-optimized Ce3PbF structure, computed with PBE.

Results
Space-group type ... Pm-3m
Uncorrected formation energy ... -519 kJ/mol of formula units
Raw total energy ... -5.75 eV per atom

Unit cell a=4.9786 b=4.9786 c=4.9786 alpha=90.00 beta=90.00 gamma=90.00
Last column: nearest neighbours and their distance in Å.
Fractional coordinates of all 5 atoms:
Ce 0.0000 0.0000 0.5000  2 F 2.49
Ce 0.0000 0.5000 0.0000  2 F 2.49
Ce 0.5000 0.0000 0.0000  2 F 2.49
Pb 0.5000 0.5000 0.5000  12 Ce 3.52
F 0.0000 0.0000 0.0000  6 Ce 2.49


A geometry-optimized AcSm4Co structure, computed with PBE.

Results
Formation energy from the elements ... 0.018 eV per atom
Space-group type ... Cmcm
Raw total energy ... -5.00 eV per atom

Unit cell a=9.6347 b=9.6347 c=7.6423 alpha=90.00 beta=90.00 gamma=145.62
Last column: nearest neighbours and their distance in Å.
Fractional coordinates of all 12 atoms:
Ac 0.1084 0.8916 0.7500  13 Sm 3.83-4.16
Ac 0.8916 0.1084 0.2500  13 Sm 3.83-4.16
Sm 0.1178 0.8822 0.2500  2 Co 2.87
Sm 0.3001 0.6999 0.5063  1 Co 2.65
Sm 0.3001 0.6999 0.9937  1 Co 2.65
Sm 0.5000 0.5000 0.0000  2 Co 2.62
Sm 0.5000 0.5000 0.5000  2 Co 2.62
Sm 0.6999 0.3001 0.0063  1 Co 2.65
Sm 0.6999 0.3001 0.4937  1 Co 2.65
Sm 0.8822 0.1178 0.7500  2 Co 2.87
Co 0.4023 0.5977 0.7500  6 Sm 2.62-2.87
Co 0.5977 0.4023 0.2500  6 Sm 2.62-2.87


A geometry-optimized PrSm2PaN4 structure, computed with PBE.

Results
Space-group type ... P2/m
Uncorrected formation energy ... -1175 kJ/mol of formula units
Raw total energy ... -8.65 eV per atom

Unit cell a=6.1769 b=3.5949 c=6.2269 alpha=90.00 beta=109.23 gamma=90.00
Last column: nearest neighbours and their distance in Å.
Fractional coordinates of all 8 atoms:
Pr 0.0000 0.0000 0.0000  6 N 2.57-2.58
Sm 0.5000 0.0000 0.5000  6 N 2.50-2.52
Sm 0.5000 0.5000 0.0000  6 N 2.65-2.71
Pa 0.0000 0.5000 0.5000  6 N 2.35-2.43
N 0.2318 0.0000 0.7255  2 Pa 2.43, 3 Sm 2.50-2.65, 1 Pr 2.57
N 0.2381 0.5000 0.2737  1 Pa 2.35, 2 Sm 2.52, 2 Pr 2.58
N 0.7619 0.5000 0.7263  1 Pa 2.35, 2 Sm 2.52, 2 Pr 2.58
N 0.7682 0.0000 0.2745  2 Pa 2.43, 3 Sm 2.50-2.65, 1 Pr 2.57


A geometry-optimized Li2AcMgHg4 structure, computed with PBE.

Results
Formation energy from the elements ... -0.370 eV per atom
Space-group type ... R-3m
Raw total energy ... -1.71 eV per atom

Unit cell a=10.0517 b=10.0517 c=10.0517 alpha=27.43 beta=27.43 gamma=27.43
Last column: nearest neighbours and their distance in Å.
Fractional coordinates of all 8 atoms:
Li 0.2299 0.2299 0.2299  7 Hg 2.83-3.02
Li 0.7701 0.7701 0.7701  7 Hg 2.83-3.02
Ac 0.0000 0.0000 0.0000  8 Hg 3.33-3.65
Mg 0.5000 0.5000 0.5000  8 Hg 2.96-3.00, 6 Li 3.31
Hg 0.1258 0.1258 0.1258  4 Li 2.83-3.02, 3 Mg 3.00
Hg 0.3980 0.3980 0.3980  1 Mg 2.96, 3 Li 2.97, 3 Hg 3.28
Hg 0.6020 0.6020 0.6020  1 Mg 2.96, 3 Li 2.97, 3 Hg 3.28
Hg 0.8742 0.8742 0.8742  4 Li 2.83-3.02, 3 Mg 3.00


A geometry-optimized MgCu2Ru structure, computed with PBE.

Results
Formation energy from the elements ... 0.116 eV per atom
Space-group type ... Pm
Raw total energy ... -4.65 eV per atom

Unit cell a=2.6234 b=4.2182 c=5.1850 alpha=90.00 beta=104.48 gamma=90.00
Last column: nearest neighbours and their distance in Å.
Fractional coordinates of all 4 atoms:
Mg 0.0000 0.0000 0.0000  7 Cu 2.55-2.79, 2 Mg 2.62
Cu 0.2576 0.0000 0.5086  4 Cu 2.48-2.62, 1 Mg 2.55, 4 Ru 2.70-2.71
Cu 0.3833 0.5000 0.7677  4 Cu 2.48-2.62, 3 Ru 2.66-2.70, 4 Mg 2.74-2.75
Ru 0.6503 0.5000 0.2968  2 Ru 2.62, 7 Cu 2.66-2.71, 4 Mg 2.89-2.90


A geometry-optimized SmDy2US8 structure, computed with PBE.

Results
Space-group type ... P2/m
Uncorrected formation energy ... -1728 kJ/mol of formula units
Raw total energy ... -6.35 eV per atom

Unit cell a=5.8952 b=8.1652 c=6.4477 alpha=90.00 beta=90.18 gamma=90.00
Last column: nearest neighbours and their distance in Å.
Fractional coordinates of all 12 atoms:
Sm 0.0000 0.0000 0.0000  6 S 2.79-2.85
Dy 0.5000 0.2540 0.5000  6 S 2.73-2.76
Dy 0.5000 0.7460 0.5000  6 S 2.73-2.76
U 0.0000 0.5000 0.0000  6 S 2.56-2.58
S 0.2118 0.0000 0.3977  2 Dy 2.76, 1 S 2.83, 1 Sm 2.85
S 0.2462 0.5000 0.3322  1 U 2.58, 2 Dy 2.73
S 0.2479 0.2685 0.8598  1 U 2.56, 1 Dy 2.76, 1 Sm 2.79
S 0.2479 0.7315 0.8598  1 U 2.56, 1 Dy 2.76, 1 Sm 2.79
S 0.7521 0.2685 0.1402  1 U 2.56, 1 Dy 2.76, 1 Sm 2.79
S 0.7521 0.7315 0.1402  1 U 2.56, 1 Dy 2.76, 1 Sm 2.79
S 0.7538 0.5000 0.6678  1 U 2.58, 2 Dy 2.73
S 0.7882 0.0000 0.6023  2 Dy 2.76, 1 S 2.83, 1 Sm 2.85